[1]
# Gd2ErAl3AgPt2

Crystalline Gd2ErAl3AgPt2 at its relaxed geometry (GGA-PBE, OQMD).

a b c (Å): 3.927 7.355 7.355
angles (deg): 119.85 90.00 90.00
Fractional positions:
Ag 0.000 0.997 0.997
Al 0.500 0.258 0.258
Al 0.500 0.998 0.742
Al 0.500 0.742 0.998
Er 0.000 0.584 0.584
Gd 0.000 0.416 0.001
Gd 0.000 0.001 0.416
Pt 0.500 0.666 0.337
Pt 0.500 0.337 0.666

Values from the calculation:
For the uncorrected energy, the calculation gives -5.32 eV per atom.

[2]
# Ho2ErAl3AgGe2

Crystalline Ho2ErAl3AgGe2 at its relaxed geometry (GGA-PBE, OQMD).

a b c (Å): 4.254 7.022 7.022
angles (deg): 119.97 90.00 90.00
Fractional positions:
Ag 0.000 0.001 0.001
Al 0.500 0.241 0.000
Al 0.500 0.000 0.241
Al 0.500 0.759 0.759
Er 0.000 0.413 0.413
Ge 0.500 0.666 0.334
Ge 0.500 0.334 0.666
Ho 0.000 0.000 0.587
Ho 0.000 0.587 0.000

Values from the calculation:
For the uncorrected energy, the calculation gives -4.72 eV per atom.

[3]
# Er2LuAl3AgGe2

Crystalline Er2LuAl3AgGe2 at its relaxed geometry (GGA-PBE, OQMD).

a b c (Å): 4.233 6.980 6.980
angles (deg): 119.85 90.00 90.00
Fractional positions:
Ag 0.000 0.003 0.003
Al 0.500 0.000 0.241
Al 0.500 0.759 0.759
Al 0.500 0.241 0.000
Er 0.000 0.999 0.586
Er 0.000 0.586 0.999
Ge 0.500 0.664 0.334
Ge 0.500 0.334 0.664
Lu 0.000 0.414 0.414

Values from the calculation:
For the uncorrected energy, the calculation gives -4.70 eV per atom.